First-principles (PBE) data for a relaxed Tm6CuPd5 crystal, as listed in Alexandria via LeMat-Bulk.

Results
The calculation puts the uncorrected energy at -66.84 eV for the cell shown. The formation energy comes out at -0.829 eV per atom.

```
Tm6CuPd5
1.0
0.1616 -2.7083 4.0704
6.7207 -1.3103 -1.1386
1.8956 4.5790 5.9196
Tm Cu Pd
6 1 5
Cartesian
5.8078 -1.7242 4.5053 Tm
2.4401 -1.0675 5.0758 Tm
1.7557 -1.6807 1.7515 Tm
7.0223 2.2411 7.0999 Tm
6.3378 1.6279 3.7756 Tm
2.9701 2.2846 4.3461 Tm
0.0000 0.0000 0.0000 Cu
4.7254 0.5716 6.0759 Pd
0.6850 0.6189 3.3310 Pd
3.3604 -0.6552 -0.5693 Pd
1.3722 1.2518 6.6590 Pd
4.0526 -0.0112 2.7754 Pd
```